TmGaPb2 | PBE | relaxed

Unit cell a=3.5314 b=3.5314 c=32.5737 alpha=90.00 beta=90.00 gamma=120.00
Space group R-3m (No. 166, hexagonal axes)
Inequivalent atoms, fractional coordinates:
Tm1 0.0000 0.0000 0.0000 (multiplicity 3)
Ga1 0.0000 0.0000 0.5000 (multiplicity 3)
Pb1 0.0000 0.0000 0.0956 (multiplicity 6)

## Properties
Formation enthalpy at 0 K, eV/atom: 0.147
Distance to the lowest polymorph of the same formula, meV per atom: 397.1
D(E_F), states/eV/cell: 9.361
V, A^3/atom: 29.32

TbDyHg5 | PBE | relaxed

Unit cell a=4.607 b=4.607 c=8.697 alpha=90.00 beta=90.00 gamma=90.00
Space group P4/mmm (No. 123)
Inequivalent atoms, fractional coordinates:
Tb1 0.000 0.000 0.000 (multiplicity 1)
Dy1 0.500 0.500 0.500 (multiplicity 1)
Hg1 0.000 0.000 0.500 (multiplicity 1)
Hg2 0.000 0.500 0.239 (multiplicity 4)

## Properties
Formation enthalpy at 0 K, eV/atom: -0.264
D(E_F), states/eV/cell: 3.206
V, A^3/atom: 26.37

Pr2ThScTe4 | PBE | relaxed

Unit cell a=7.661 b=4.399 c=7.748 alpha=90.00 beta=109.10 gamma=90.00
Space group P2/m (No. 10)
Inequivalent atoms, fractional coordinates:
Pr1 0.000 0.000 0.000 (multiplicity 1)
Pr2 0.000 0.500 0.500 (multiplicity 1)
Th1 0.500 0.000 0.500 (multiplicity 1)
Sc1 0.500 0.500 0.000 (multiplicity 1)
Te1 0.261 0.500 0.241 (multiplicity 2)
Te2 0.271 0.000 0.769 (multiplicity 2)

## Properties
Uncorrected formation energy, kcal/mol of atoms: -28.18
D(E_F), states/eV/cell: 5.730
V, A^3/atom: 30.84

AcLa7Y3 | PBE | relaxed

Unit cell a=11.937 b=10.296 c=6.699 alpha=90.00 beta=95.00 gamma=90.00
Space group C2/m (No. 12)
Inequivalent atoms, fractional coordinates:
Ac1 0.000 0.000 0.000 (multiplicity 2)
La1 0.000 0.000 0.500 (multiplicity 2)
La2 0.234 0.500 0.703 (multiplicity 4)
La3 0.247 0.319 0.238 (multiplicity 8)
Y1 0.000 0.332 0.500 (multiplicity 4)
Y2 0.000 0.500 0.000 (multiplicity 2)

## Properties
Formation enthalpy at 0 K, eV/atom: 0.202
Distance to the lowest polymorph of the same formula, meV per atom: 21.6
D(E_F), states/eV/cell: 32.508
V, A^3/atom: 37.28

Cs2CdIn4Au3 | PBE | relaxed

Unit cell a=5.200 b=5.200 c=11.207 alpha=90.00 beta=90.00 gamma=90.00
Space group P-4m2 (No. 115)
Inequivalent atoms, fractional coordinates:
Cs1 0.000 0.500 0.247 (multiplicity 2)
Cd1 0.500 0.500 0.000 (multiplicity 1)
In1 0.000 0.000 0.500 (multiplicity 1)
In2 0.000 0.500 0.874 (multiplicity 2)
In3 0.500 0.500 0.500 (multiplicity 1)
Au1 0.000 0.000 0.000 (multiplicity 1)
Au2 0.000 0.500 0.616 (multiplicity 2)

## Properties
Formation enthalpy at 0 K, eV/atom: -0.200
D(E_F), states/eV/cell: 3.625
V, A^3/atom: 30.30

FeHg2I6 | PBE | relaxed

Unit cell a=16.502 b=15.828 c=7.547 alpha=90.00 beta=116.82 gamma=90.00
Space group C2/c (No. 15)
Inequivalent atoms, fractional coordinates:
Fe1 0.000 0.238 0.250 (multiplicity 4)
Hg1 0.242 0.420 0.435 (multiplicity 8)
I1 0.094 0.329 0.123 (multiplicity 8)
I2 0.095 0.148 0.563 (multiplicity 8)
I3 0.232 0.407 0.800 (multiplicity 8)

## Properties
Uncorrected formation energy, kcal/mol of atoms: -5.31
D(E_F), states/eV/cell: 15.452
V, A^3/atom: 48.86

IrPd2W | PBE | relaxed

Unit cell a=6.257 b=6.257 c=6.257 alpha=90.00 beta=90.00 gamma=90.00
Space group Fm-3m (No. 225)
Inequivalent atoms, fractional coordinates:
Ir1 0.000 0.000 0.000 (multiplicity 4)
Pd1 0.250 0.250 0.250 (multiplicity 8)
W1 0.000 0.000 0.500 (multiplicity 4)

## Properties
Formation enthalpy at 0 K, eV/atom: 0.319
Distance to the lowest polymorph of the same formula, meV per atom: 0.0
D(E_F), states/eV/cell: 15.017
V, A^3/atom: 15.31

CsVRu2Rh | PBE | relaxed

Unit cell a=4.681 b=4.681 c=4.822 alpha=90.00 beta=90.00 gamma=90.00
Space group P4/mmm (No. 123)
Inequivalent atoms, fractional coordinates:
Cs1 0.000 0.000 0.000 (multiplicity 1)
V1 0.500 0.500 0.500 (multiplicity 1)
Ru1 0.000 0.500 0.500 (multiplicity 2)
Rh1 0.500 0.500 0.000 (multiplicity 1)

## Properties
Formation enthalpy at 0 K, eV/atom: 1.221
D(E_F), states/eV/cell: 6.326
V, A^3/atom: 21.13

La2CuIrCl | PBE | relaxed

Unit cell a=5.507 b=5.507 c=4.572 alpha=90.00 beta=90.00 gamma=90.00
Space group P4/mmm (No. 123)
Inequivalent atoms, fractional coordinates:
La1 0.000 0.500 0.000 (multiplicity 2)
Cu1 0.000 0.000 0.000 (multiplicity 1)
Ir1 0.000 0.000 0.500 (multiplicity 1)
Cl1 0.500 0.500 0.500 (multiplicity 1)

## Properties
Uncorrected formation energy, kcal/mol of atoms: -4.65
D(E_F), states/eV/cell: 4.911
V, A^3/atom: 27.73

KLaMo2S | PBE | relaxed

Unit cell a=4.465 b=4.465 c=5.861 alpha=90.00 beta=90.00 gamma=90.00
Space group P4/mmm (No. 123)
Inequivalent atoms, fractional coordinates:
K1 0.000 0.000 0.000 (multiplicity 1)
La1 0.000 0.000 0.500 (multiplicity 1)
Mo1 0.000 0.500 0.000 (multiplicity 2)
S1 0.500 0.500 0.500 (multiplicity 1)

## Properties
Uncorrected formation energy, kcal/mol of atoms: 51.54
D(E_F), states/eV/cell: 2.925
V, A^3/atom: 23.37

Fe2SbPt2 | PBE | relaxed

Unit cell a=3.746 b=3.746 c=11.366 alpha=90.00 beta=90.00 gamma=90.00
Space group I4/mmm (No. 139)
Inequivalent atoms, fractional coordinates:
Fe1 0.000 0.000 0.095 (multiplicity 4)
Sb1 0.000 0.000 0.500 (multiplicity 2)
Pt1 0.000 0.500 0.250 (multiplicity 4)

## Properties
Uncorrected formation energy, kcal/mol of atoms: 8.30
Distance to the lowest polymorph of the same formula, meV per atom: 183.0
D(E_F), states/eV/cell: 22.275
V, A^3/atom: 15.95

Li2CaRe | PBE | relaxed

Unit cell a=2.714 b=2.714 c=10.145 alpha=90.00 beta=90.00 gamma=90.00
Space group P4/mmm (No. 123)
Inequivalent atoms, fractional coordinates:
Li1 0.000 0.000 0.208 (multiplicity 2)
Ca1 0.500 0.500 0.500 (multiplicity 1)
Re1 0.500 0.500 0.000 (multiplicity 1)

## Properties
Formation enthalpy at 0 K, eV/atom: 0.617
Distance to the lowest polymorph of the same formula, meV per atom: 144.6
D(E_F), states/eV/cell: 2.640
V, A^3/atom: 18.68